Material: KPaN
Method: DFT, GGA-PBE
State: relaxed

Properties
Its space group is P-1.

a = 4.077 Å, b = 4.203 Å, c = 10.681 Å
α = 90.06°, β = 90.34°, γ = 90.01°
Fractional coordinates of all 6 atoms:
K  0.245  0.249  0.181
K  0.755  0.751  0.819
Pa  0.251  0.250  0.544
Pa  0.749  0.750  0.456
N  0.248  0.750  0.383
N  0.752  0.250  0.617

---

Material: KPa2N4
Method: DFT, GGA-PBE
State: relaxed

Properties
Its space group is Fd-3m.

a = 7.175 Å, b = 7.175 Å, c = 7.175 Å
α = 60.00°, β = 60.00°, γ = 60.00°
Fractional coordinates of all 14 atoms:
K  0.125  0.125  0.125
K  0.875  0.875  0.875
Pa  0.000  0.500  0.500
Pa  0.500  0.000  0.500
Pa  0.500  0.500  0.000
Pa  0.500  0.500  0.500
N  0.277  0.277  0.277
N  0.277  0.277  0.669
N  0.277  0.669  0.277
N  0.331  0.723  0.723
N  0.669  0.277  0.277
N  0.723  0.331  0.723
N  0.723  0.723  0.331
N  0.723  0.723  0.723

---

Material: KPa4PbN8
Method: DFT, GGA-PBE
State: relaxed

Properties
Its space group is R3m.

a = 7.912 Å, b = 7.912 Å, c = 7.912 Å
α = 53.57°, β = 53.57°, γ = 53.57°
Fractional coordinates of all 14 atoms:
K  0.000  0.000  0.000
Pa  0.460  0.460  0.460
Pa  0.493  0.999  0.999
Pa  0.999  0.493  0.999
Pa  0.999  0.999  0.493
Pb  0.616  0.616  0.616
N  0.209  0.209  0.209
N  0.238  0.690  0.690
N  0.264  0.264  0.790
N  0.264  0.790  0.264
N  0.690  0.238  0.690
N  0.690  0.690  0.238
N  0.790  0.264  0.264
N  0.790  0.790  0.790

---

Material: KPr3Pa2N6
Method: DFT, GGA-PBE
State: relaxed

Properties
Its space group is C2/m.

a = 8.097 Å, b = 8.097 Å, c = 7.363 Å
α = 102.34°, β = 102.34°, γ = 26.04°
Fractional coordinates of all 12 atoms:
K  0.000  0.000  0.000
Pr  0.000  0.000  0.500
Pr  0.335  0.335  0.158
Pr  0.665  0.665  0.842
Pa  0.332  0.332  0.667
Pa  0.668  0.668  0.333
N  0.177  0.177  0.570
N  0.180  0.180  0.122
N  0.469  0.469  0.705
N  0.531  0.531  0.295
N  0.820  0.820  0.878
N  0.823  0.823  0.430

---

Material: K4PrPa3N8
Method: DFT, GGA-PBE
State: relaxed

Properties
Its space group is C2/m.

a = 7.289 Å, b = 7.289 Å, c = 7.685 Å
α = 118.06°, β = 118.06°, γ = 59.26°
Fractional coordinates of all 16 atoms:
K  0.000  0.000  0.000
K  0.000  0.500  0.000
K  0.500  0.000  0.000
K  0.500  0.500  0.000
Pr  0.000  0.000  0.500
Pa  0.000  0.500  0.500
Pa  0.500  0.000  0.500
Pa  0.500  0.500  0.500
N  0.233  0.233  0.665
N  0.238  0.698  0.665
N  0.273  0.273  0.331
N  0.302  0.762  0.335
N  0.698  0.238  0.665
N  0.727  0.727  0.669
N  0.762  0.302  0.335
N  0.767  0.767  0.335

---

Material: K2PuPaN4
Method: DFT, GGA-PBE
State: relaxed

Properties
Its space group is P2/m.

a = 6.199 Å, b = 3.565 Å, c = 6.726 Å
α = 90.00°, β = 108.09°, γ = 90.00°
Fractional coordinates of all 8 atoms:
K  0.000  0.000  0.000
K  0.500  0.500  0.000
Pu  0.000  0.500  0.500
Pa  0.500  0.000  0.500
N  0.215  0.000  0.658
N  0.277  0.500  0.341
N  0.723  0.500  0.659
N  0.785  0.000  0.342

---

Results for total energy: -6.736; -8.701; -8.878; -8.272; -7.460; -8.363 (in eV/atom, following the order of the records).